(1)
! Rb2ScTa (GGA-PBE, relaxed); values from VASP
&SYSTEM
  ibrav = 0, nat = 8, ntyp = 3
/
ATOMIC_SPECIES
Sc 44.96 Sc.upf
Rb 85.47 Rb.upf
Ta 180.95 Ta.upf
ATOMIC_POSITIONS angstrom
Sc 3.8110 -8.5355 0.0951
Sc 8.8389 -11.4475 -3.3047
Rb 2.1453 -10.7172 5.6877
Rb 6.0769 -16.2252 3.3677
Rb 6.0562 -11.1277 2.2601
Rb 4.1884 -14.8978 8.0457
Ta 0.0000 0.0000 0.0000
Ta 4.6167 -13.2420 4.8403
CELL_PARAMETERS angstrom
-0.4112 -10.3299 8.2400
8.0332 -6.7410 -8.0499
5.8335 -7.6185 1.3455
! D(E_F), states/eV per cell: 10.4
! Calculated formation energy, meV per atom: 1611


(2)
! Nb9PO25 (GGA-PBE, relaxed); values from VASP
&SYSTEM
  ibrav = 0, nat = 35, ntyp = 3
/
ATOMIC_SPECIES
P 30.97 P.upf
Nb 92.91 Nb.upf
O 16.00 O.upf
ATOMIC_POSITIONS angstrom
P -5.0820 -6.5775 15.7461
Nb -7.2013 -8.7600 17.2816
Nb -2.5840 -6.1886 13.4610
Nb -8.9716 -12.6408 25.7761
Nb -0.8285 -2.2373 4.9960
Nb -6.6275 -3.0827 8.7279
Nb -10.2970 -10.1403 19.1522
Nb 0.4927 -4.7181 11.6281
Nb -9.5285 -7.9659 14.1790
Nb -0.2529 -7.0012 16.5559
O -9.2089 -10.7133 21.0997
O -0.5993 -4.1267 9.6883
O -7.5451 -7.1933 13.3012
O -2.2318 -7.7950 17.4247
O -8.2442 -8.4125 15.8478
O -1.5302 -6.5878 14.8731
O -3.7474 -10.3503 17.8758
O -5.3207 -7.9957 11.4470
O -5.5366 -7.8919 16.4296
O -4.3043 -6.7932 14.4231
O -10.0432 -12.3082 24.0476
O 0.2997 -2.8382 6.6123
O -5.9402 -9.2284 19.1968
O -3.8679 -5.6123 11.5909
O -7.0471 -11.8526 24.7024
O -2.7299 -3.1350 6.0239
O -8.7268 -9.4352 18.3810
O -1.0953 -5.3390 12.4344
O -7.7018 -13.0946 27.2501
O -2.0617 -1.9571 3.4494
O -11.4345 -9.8239 17.7220
O 1.6444 -5.1021 13.0300
O -10.9430 -8.6687 15.1506
O 1.1609 -6.2954 15.5855
O -6.2784 -4.7366 8.0367
CELL_PARAMETERS angstrom
-6.6593 -2.9323 8.7908
-5.9157 -6.4548 7.3187
2.7837 -5.5329 14.6451
! Uncorrected formation energy, meV per atom: -2525
! D(E_F), states/eV per cell: 0.0


(3)
! InNi2B2 (GGA-PBE, relaxed); values from VASP
&SYSTEM
  ibrav = 0, nat = 5, ntyp = 3
/
ATOMIC_SPECIES
Ni 58.69 Ni.upf
B 10.81 B.upf
In 114.82 In.upf
ATOMIC_POSITIONS angstrom
Ni 1.4415 1.4415 1.9551
Ni 2.8831 2.8831 4.8024
B 2.8831 1.4415 3.3788
B 1.4415 2.8831 3.3788
In 0.0000 0.0000 0.0000
CELL_PARAMETERS angstrom
2.8831 0.0000 0.0000
0.0000 2.8831 0.0000
1.4415 1.4415 6.7576
! D(E_F), states/eV per cell: 1.3
! Calculated formation energy, meV per atom: -5